A plane-wave DFT calculation with PBE+U was carried out for a relaxed structure of Li3MnCo2O6.

Excess energy over the best structure of this formula in the dataset, meV/atom: 30
N(E_F), states/eV per cell: 0.2
Size of the total moment, μB per formula unit: 12.01

```
Li3MnCo2O6
1.0
6.2553 -1.5259 0.0000
6.2553 1.5259 0.0000
-1.5548 0.0000 5.8365
Li Mn Co O
3 1 2 6
direct
0.0000 0.0000 0.0000
0.3323 0.3323 0.6663
0.6677 0.6677 0.3337
0.0000 0.0000 0.5000
0.3332 0.3332 0.1636
0.6668 0.6668 0.8364
0.1594 0.1594 0.5928
0.1744 0.1744 0.0784
0.4925 0.4925 0.2515
0.5075 0.5075 0.7485
0.8256 0.8256 0.9216
0.8406 0.8406 0.4072
```